## BaS2NF (PBE-GGA)

Data for crystalline BaS2NF at its relaxed geometry.

Lattice parameters (Å, degrees): 6.324 6.324 5.425 90.00 90.00 90.00
Last column: magnetic moment on the atom in μB.
Atoms (fractional coordinates):
S 0.000 0.500 0.000  0.88
S 0.500 0.000 0.000  0.88
N 0.000 0.000 0.500  1.55
Ba 0.000 0.000 0.000  0.01
F 0.500 0.500 0.500  0.44

Results
Energy above the most stable polymorph in this dataset ... 642 meV/atom
Energy relative to the elements, uncorrected ... 4.42 eV/f.u.